Computed, not measured: Ac4Mn3CdO12 after structural relaxation at the GGA+U level of DFT.

Properties
Crystal system: cubic
Spin magnetization, Bohr magnetons per cell: 11.0
Calculated total energy, eV/atom: -7.375

The structure in extended XYZ format:
```
20
Lattice="-4.053 4.053 4.053 4.053 -4.053 4.053 4.053 4.053 -4.053" Properties=species:S:1:pos:R:3 pbc="T T T"
Ac 2.026 2.026 -2.026
Ac 2.026 -2.026 2.026
Ac -2.026 2.026 2.026
Ac 2.026 2.026 2.026
Mn 4.053 0.000 0.000
Mn 0.000 4.053 0.000
Mn 0.000 0.000 4.053
Cd 0.000 0.000 0.000
O 2.167 0.000 0.000
O 5.939 0.000 0.000
O 4.053 2.026 0.000
O 4.053 0.000 2.026
O 0.000 2.167 0.000
O 0.000 0.000 2.167
O 2.026 4.053 0.000
O 2.026 0.000 4.053
O 0.000 5.939 0.000
O 0.000 0.000 5.939
O 0.000 4.053 2.026
O 0.000 2.026 4.053
```